# 1
This record from the Alexandria database describes a relaxed RePt2Cl crystal. The functional is PBE.

The total energy comes out at -49.6 eV for the cell shown. For the formation energy (no corrections), the calculation gives 389 meV per atom. For the offset from the most stable computed form, the calculation gives 310 meV per atom. The calculation puts the mass density at 14.8 g cm⁻³.

It has space group Cmm2 (No. 35), with a = 2.773 Å, b = 4.945 Å, c = 10.019 Å, α = 90.00°, β = 90.00° and γ = 90.00°. Symmetry generates all atoms from Re at (0.000, 0.000, 0.000), Pt at (0.000, 0.000, 0.526), Pt at (0.000, 0.500, 0.770) and Cl at (0.000, 0.500, 0.199).



# 2
This record from the Alexandria database describes a relaxed RePt2Cl crystal. The functional is PBE.

The total energy comes out at -23.1 eV for the cell shown. For the formation energy (no corrections), the calculation gives 819 meV per atom. For the offset from the most stable computed form, the calculation gives 740 meV per atom. The calculation puts the mass density at 15.5 g cm⁻³.

It has space group P4/mmm (No. 123), with a = 4.917 Å, b = 4.917 Å, c = 2.718 Å, α = 90.00°, β = 90.00° and γ = 90.00°. Symmetry generates all atoms from Re at (0.000, 0.000, 0.000), Pt at (0.000, 0.500, 0.500) and Cl at (0.500, 0.500, 0.000).



# 3
This record from the Alexandria database describes a relaxed RePtCl crystal. The functional is PBE.

The total energy comes out at -75.6 eV for the cell shown. For the formation energy (no corrections), the calculation gives 482 meV per atom. For the offset from the most stable computed form, the calculation gives 135 meV per atom. The calculation puts the mass density at 13.2 g cm⁻³.

It has space group Fmm2 (No. 42), with a = 2.822 Å, b = 5.022 Å, c = 14.784 Å, α = 90.00°, β = 90.00° and γ = 90.00°. Symmetry generates all atoms from Re at (0.000, 0.000, 0.000), Pt at (0.000, 0.000, 0.654) and Cl at (0.000, 0.000, 0.367).



# 4
This record from the Alexandria database describes a relaxed RePt2Cl crystal. The functional is PBE.

The total energy comes out at -22.2 eV for the cell shown. For the formation energy (no corrections), the calculation gives 1045 meV per atom. For the offset from the most stable computed form, the calculation gives 966 meV per atom. The calculation puts the mass density at 15.9 g cm⁻³.

It has space group P4/mmm (No. 123), with a = 3.800 Å, b = 3.800 Å, c = 4.436 Å, α = 90.00°, β = 90.00° and γ = 90.00°. Symmetry generates all atoms from Re at (0.000, 0.000, 0.000), Pt at (0.000, 0.500, 0.500) and Cl at (0.500, 0.500, 0.000).



# 5
This record from the Alexandria database describes a relaxed RePtCl crystal. The functional is PBE.

The total energy comes out at -63.6 eV for the cell shown. For the formation energy (no corrections), the calculation gives 1477 meV per atom. For the offset from the most stable computed form, the calculation gives 1130 meV per atom. The calculation puts the mass density at 11.3 g cm⁻³.

It has space group F-43m (No. 216), with a = 6.265 Å, b = 6.265 Å, c = 6.265 Å, α = 90.00°, β = 90.00° and γ = 90.00°. Symmetry generates all atoms from Re at (0.000, 0.000, 0.000), Pt at (0.250, 0.250, 0.750) and Cl at (0.000, 0.000, 0.500).



# 6
This record from the Alexandria database describes a relaxed RePt2Cl crystal. The functional is PBE.

The total energy comes out at -92.6 eV for the cell shown. For the formation energy (no corrections), the calculation gives 808 meV per atom. For the offset from the most stable computed form, the calculation gives 728 meV per atom. The calculation puts the mass density at 11.7 g cm⁻³.

It has space group I-42d (No. 122), with a = 6.474 Å, b = 6.474 Å, c = 8.311 Å, α = 90.00°, β = 90.00° and γ = 90.00°. Symmetry generates all atoms from Re at (0.000, 0.000, 0.000), Pt at (0.226, 0.250, 0.125) and Cl at (0.000, 0.000, 0.500).



# 7
This record from the Alexandria database describes a relaxed RePt2Cl crystal. The functional is PBE.

The total energy comes out at -23.1 eV for the cell shown. For the formation energy (no corrections), the calculation gives 809 meV per atom. For the offset from the most stable computed form, the calculation gives 730 meV per atom. The calculation puts the mass density at 15.8 g cm⁻³.

It has space group Pmmm (No. 47), with a = 2.770 Å, b = 4.655 Å, c = 4.996 Å, α = 90.00°, β = 90.00° and γ = 90.00°. Symmetry generates all atoms from Re at (0.000, 0.000, 0.000), Pt at (0.000, 0.500, 0.500), Pt at (0.500, 0.000, 0.500) and Cl at (0.500, 0.500, 0.000).



# 8
This record from the Alexandria database describes a relaxed RePtCl crystal. The functional is PBE.

The total energy comes out at -72.2 eV for the cell shown. For the formation energy (no corrections), the calculation gives 760 meV per atom. For the offset from the most stable computed form, the calculation gives 413 meV per atom. The calculation puts the mass density at 12.7 g cm⁻³.

It has space group F-43m (No. 216), with a = 6.016 Å, b = 6.016 Å, c = 6.016 Å, α = 90.00°, β = 90.00° and γ = 90.00°. Symmetry generates all atoms from Re at (0.000, 0.000, 0.000), Pt at (0.250, 0.250, 0.750) and Cl at (0.250, 0.250, 0.250).



# 9
This record from the Alexandria database describes a relaxed RePt2Cl crystal. The functional is PBE.

The total energy comes out at -76.5 eV for the cell shown. For the formation energy (no corrections), the calculation gives 217 meV per atom. For the offset from the most stable computed form, the calculation gives 138 meV per atom. The calculation puts the mass density at 15.4 g cm⁻³.

It has space group R3m (No. 160, hexagonal axes), with a = 2.8586 Å, b = 2.8586 Å, c = 28.0565 Å, α = 90.00°, β = 90.00° and γ = 120.00°. Symmetry generates all atoms from Re at (0.0000, 0.0000, 0.0000), Pt at (0.0000, 0.0000, 0.4914), Pt at (0.0000, 0.0000, 0.7427) and Cl at (0.0000, 0.0000, 0.2668).



# 10
This record from the Alexandria database describes a relaxed RePt2Cl crystal. The functional is PBE.

The total energy comes out at -45.4 eV for the cell shown. For the formation energy (no corrections), the calculation gives 919 meV per atom. For the offset from the most stable computed form, the calculation gives 840 meV per atom. The calculation puts the mass density at 15.9 g cm⁻³.

It has space group I4/mmm (No. 139), with a = 4.027 Å, b = 4.027 Å, c = 7.874 Å, α = 90.00°, β = 90.00° and γ = 90.00°. Symmetry generates all atoms from Re at (0.000, 0.000, 0.000), Pt at (0.000, 0.500, 0.250) and Cl at (0.000, 0.000, 0.500).



# 11
This record from the Alexandria database describes a relaxed RePt2Cl crystal. The functional is PBE.

The total energy comes out at -25.0 eV for the cell shown. For the formation energy (no corrections), the calculation gives 339 meV per atom. For the offset from the most stable computed form, the calculation gives 260 meV per atom. The calculation puts the mass density at 14.6 g cm⁻³.

It has space group P4mm (No. 99), with a = 2.862 Å, b = 2.862 Å, c = 8.513 Å, α = 90.00°, β = 90.00° and γ = 90.00°. Symmetry generates all atoms from Re at (0.000, 0.000, 0.000), Pt at (0.000, 0.000, 0.566), Pt at (0.500, 0.500, 0.797) and Cl at (0.500, 0.500, 0.198).



# 12
This record from the Alexandria database describes a relaxed RePt2Cl crystal. The functional is PBE.

The total energy comes out at -26.1 eV for the cell shown. For the formation energy (no corrections), the calculation gives 79 meV per atom. For the offset from the most stable computed form, the calculation gives 0 meV per atom. The calculation puts the mass density at 15.4 g cm⁻³.

It has space group P2/m (No. 10), with a = 2.833 Å, b = 2.877 Å, c = 8.118 Å, α = 90.00°, β = 90.08° and γ = 90.00°. Symmetry generates all atoms from Re at (0.000, 0.000, 0.000), Pt at (0.499, 0.500, 0.775) and Cl at (0.500, 0.000, 0.500).



# 13
This record from the Alexandria database describes a relaxed RePt3Cl crystal. The functional is PBE.

The total energy comes out at -25.9 eV for the cell shown. For the formation energy (no corrections), the calculation gives 1308 meV per atom. For the offset from the most stable computed form, the calculation gives 0 meV per atom. The calculation puts the mass density at 11.7 g cm⁻³.

It has space group Pm-3m (No. 221), with a = 4.858 Å, b = 4.858 Å, c = 4.858 Å, α = 90.00°, β = 90.00° and γ = 90.00°. Symmetry generates all atoms from Re at (0.000, 0.000, 0.000), Pt at (0.000, 0.000, 0.500) and Cl at (0.500, 0.500, 0.500).



# 14
This record from the Alexandria database describes a relaxed RePtCl crystal. The functional is PBE.

The total energy comes out at -19.3 eV for the cell shown. For the formation energy (no corrections), the calculation gives 347 meV per atom. For the offset from the most stable computed form, the calculation gives 0 meV per atom. The calculation puts the mass density at 14.1 g cm⁻³.

It has space group P3m1 (No. 156), with a = 2.9105 Å, b = 2.9105 Å, c = 6.6936 Å, α = 90.00°, β = 90.00° and γ = 120.00°. Symmetry generates all atoms from Re at (0.0000, 0.0000, 0.0000), Pt at (0.3333, 0.6667, 0.6894) and Cl at (0.6667, 0.3333, 0.2828).



# 15
This record from the Alexandria database describes a relaxed RePtCl crystal. The functional is PBE.

The total energy comes out at -38.0 eV for the cell shown. For the formation energy (no corrections), the calculation gives 444 meV per atom. For the offset from the most stable computed form, the calculation gives 97 meV per atom. The calculation puts the mass density at 12.3 g cm⁻³.

It has space group I4mm (No. 107), with a = 2.925 Å, b = 2.925 Å, c = 13.201 Å, α = 90.00°, β = 90.00° and γ = 90.00°. Symmetry generates all atoms from Re at (0.000, 0.000, 0.000), Pt at (0.000, 0.000, 0.621) and Cl at (0.000, 0.000, 0.372).